(1)
# Zr2FeMoH PBE-GGA relaxed
data_Zr2FeMoH
_chemical_formula_sum 'Zr2 Fe1 Mo1 H1'
_symmetry_space_group_name_H-M 'P 4/m m m'
_symmetry_Int_Tables_number 123
_symmetry_space_group_name_Hall '-P 4 2'
_cell_length_a 4.624
_cell_length_b 4.624
_cell_length_c 3.397
_cell_angle_alpha 90.00
_cell_angle_beta 90.00
_cell_angle_gamma 90.00
loop_
_atom_site_label
_atom_site_fract_x
_atom_site_fract_y
_atom_site_fract_z
Zr1 0.000 0.500 0.000
Fe1 0.000 0.000 0.500
Mo1 0.500 0.500 0.500
H1 0.000 0.000 0.000
# - ΔE to the lowest computed polymorph (eV/f.u.) = 0.00
# - DOS(E_F) (states/eV/cell) = 4.1
# - density (g cm⁻³) = 7.67
# - E (eV per atom) = -8.09

***

(2)
# FeH2N PBE-GGA relaxed
data_FeH2N
_chemical_formula_sum 'Fe4 H8 N4'
_symmetry_space_group_name_H-M 'F m -3 m'
_symmetry_Int_Tables_number 225
_symmetry_space_group_name_Hall '-F 4 2 3'
_cell_length_a 4.539
_cell_length_b 4.539
_cell_length_c 4.539
_cell_angle_alpha 90.00
_cell_angle_beta 90.00
_cell_angle_gamma 90.00
loop_
_atom_site_label
_atom_site_fract_x
_atom_site_fract_y
_atom_site_fract_z
Fe1 0.000 0.000 0.000
H1 0.250 0.250 0.250
N1 0.000 0.000 0.500
# - ΔE to the lowest computed polymorph (eV/f.u.) = 2.46
# - DOS(E_F) (states/eV/cell) = 14.3
# - density (g cm⁻³) = 5.11
# - E (eV per atom) = -4.73

***

(3)
# FeHN2 PBE-GGA relaxed
data_FeHN2
_chemical_formula_sum 'Fe3 H3 N6'
_symmetry_space_group_name_H-M 'R -3 m'
_symmetry_Int_Tables_number 166
_symmetry_space_group_name_Hall '-R 3 2"'
_cell_length_a 2.8182
_cell_length_b 2.8182
_cell_length_c 13.7725
_cell_angle_alpha 90.00
_cell_angle_beta 90.00
_cell_angle_gamma 120.00
loop_
_atom_site_label
_atom_site_fract_x
_atom_site_fract_y
_atom_site_fract_z
Fe1 0.0000 0.0000 0.0000
H1 0.0000 0.0000 0.5000
N1 0.0000 0.0000 0.4085
# - ΔE to the lowest computed polymorph (eV/f.u.) = 0.00
# - DOS(E_F) (states/eV/cell) = 8.5
# - density (g cm⁻³) = 4.46
# - E (eV per atom) = -6.77

***

Please write out number 3 again, unchanged.
# FeHN2 PBE-GGA relaxed
data_FeHN2
_chemical_formula_sum 'Fe3 H3 N6'
_symmetry_space_group_name_H-M 'R -3 m'
_symmetry_Int_Tables_number 166
_symmetry_space_group_name_Hall '-R 3 2"'
_cell_length_a 2.8182
_cell_length_b 2.8182
_cell_length_c 13.7725
_cell_angle_alpha 90.00
_cell_angle_beta 90.00
_cell_angle_gamma 120.00
loop_
_atom_site_label
_atom_site_fract_x
_atom_site_fract_y
_atom_site_fract_z
Fe1 0.0000 0.0000 0.0000
H1 0.0000 0.0000 0.5000
N1 0.0000 0.0000 0.4085
# - ΔE to the lowest computed polymorph (eV/f.u.) = 0.00
# - DOS(E_F) (states/eV/cell) = 8.5
# - density (g cm⁻³) = 4.46
# - E (eV per atom) = -6.77